# 1
La2SmZn (PBE, optimized geometry); E_form = -141 meV per atom; SG = P4/mmm; ΔE to the lowest computed polymorph = 14 meV/atom; electronic total energy = -16.411 eV/cell; Fermi-level density of states = 1.192 states/eV/atom
1.0
3.7494 0.0000 0.0000
0.0000 3.7494 0.0000
0.0000 0.0000 8.8741
La Sm Zn
2 1 1
direct
0.0000 0.0000 0.2111
0.0000 0.0000 0.7889
0.5000 0.5000 0.5000
0.5000 0.5000 0.0000

---

# 2
LaSm2Zn6 (PBE, optimized geometry); E_form = -355 meV per atom; SG = P6/mmm; electronic total energy = -25.208 eV/cell; Fermi-level density of states = 0.844 states/eV/atom
1.0
7.9315 0.0000 0.0000
-3.9658 6.8689 0.0000
0.0000 0.0000 3.6085
La Sm Zn
1 2 6
direct
0.0000 0.0000 0.0000
0.3333 0.6667 0.0000
0.6667 0.3333 0.0000
0.0000 0.3370 0.5000
0.0000 0.6630 0.5000
0.3370 0.0000 0.5000
0.3370 0.3370 0.5000
0.6630 0.0000 0.5000
0.6630 0.6630 0.5000

---

# 3
La2SmZr (PBE, optimized geometry); E_form = 133 meV per atom; SG = R3m; ΔE to the lowest computed polymorph = 0 meV/atom; electronic total energy = -67.769 eV/cell; Fermi-level density of states = 1.300 states/eV/atom
1.0
3.5430 0.0000 0.0000
-1.7715 3.0683 0.0000
0.0000 0.0000 34.8019
La Sm Zr
6 3 3
direct
0.0000 0.0000 0.0000
0.0000 0.0000 0.1773
0.3333 0.6667 0.6667
0.3333 0.6667 0.8440
0.6667 0.3333 0.3333
0.6667 0.3333 0.5106
0.0000 0.0000 0.7574
0.3333 0.6667 0.4241
0.6667 0.3333 0.0908
0.0000 0.0000 0.5881
0.3333 0.6667 0.2547
0.6667 0.3333 0.9214

---

# 4
La2SmZr (PBE, optimized geometry); E_form = 207 meV per atom; SG = Fm-3m; ΔE to the lowest computed polymorph = 74 meV/atom; electronic total energy = -89.169 eV/cell; Fermi-level density of states = 1.855 states/eV/atom
1.0
7.9568 0.0000 0.0000
0.0000 7.9568 0.0000
0.0000 0.0000 7.9568
La Sm Zr
8 4 4
direct
0.2500 0.2500 0.2500
0.2500 0.2500 0.7500
0.2500 0.7500 0.2500
0.2500 0.7500 0.7500
0.7500 0.2500 0.2500
0.7500 0.2500 0.7500
0.7500 0.7500 0.2500
0.7500 0.7500 0.7500
0.0000 0.0000 0.0000
0.0000 0.5000 0.5000
0.5000 0.0000 0.5000
0.5000 0.5000 0.0000
0.0000 0.0000 0.5000
0.0000 0.5000 0.0000
0.5000 0.0000 0.0000
0.5000 0.5000 0.5000